[1]
LiTlAgAu | PBE | optimized geometry

Unit cell a=6.749 b=6.749 c=6.749 alpha=90.00 beta=90.00 gamma=90.00
Space group F-43m (No. 216)
One atom of each set of equivalent atoms:
Li  0.000  0.000  0.000 x4
Tl  0.250  0.250  0.750 x4
Ag  0.000  0.000  0.500 x4
Au  0.250  0.250  0.250 x4

Computed properties:
**Formation energy**: -174 meV/atom
**E**: -44.42 eV per cell
**Volume**: 19.21 A^3/atom

***

[2]
LiTl2AgAu | PBE | optimized geometry

Unit cell a=5.433 b=5.433 c=5.296 alpha=90.00 beta=90.00 gamma=90.00
Space group P4/mmm (No. 123)
One atom of each set of equivalent atoms:
Li  0.000  0.000  0.000 x1
Tl  0.000  0.500  0.500 x2
Ag  0.500  0.500  0.500 x1
Au  0.500  0.500  0.000 x1

Computed properties:
**Formation energy**: 284 meV/atom
**E**: -11.35 eV per cell
**Volume**: 31.26 A^3/atom

***

[3]
Li5TlAg2Au2 | PBE | optimized geometry

Unit cell a=9.574 b=9.574 c=3.963 alpha=90.00 beta=90.00 gamma=90.00
Space group P4/mbm (No. 127)
One atom of each set of equivalent atoms:
Li  0.000  0.500  0.000 x2
Li  0.095  0.195  0.000 x8
Tl  0.000  0.000  0.500 x2
Ag  0.171  0.671  0.500 x4
Au  0.123  0.377  0.500 x4

Computed properties:
**Formation energy**: -255 meV/atom
**E**: -53.49 eV per cell
**Volume**: 18.16 A^3/atom

***

[4]
LiYAgAu | PBE | optimized geometry

Unit cell a=8.031 b=4.626 c=5.190 alpha=90.00 beta=120.83 gamma=90.00
Space group Cm (No. 8)
One atom of each set of equivalent atoms:
Li  0.000  0.000  0.000 x2
Y  0.494  0.000  0.483 x2
Ag  0.270  0.000  0.810 x2
Au  0.219  0.500  0.157 x2

Computed properties:
**Formation energy**: -486 meV/atom
**E**: -32.90 eV per cell
**Volume**: 20.69 A^3/atom

***

[5]
Li3Zn2AgAu3 | PBE | optimized geometry

Unit cell a=7.5844 b=7.5844 c=2.8471 alpha=90.00 beta=90.00 gamma=120.00
Space group P-62m (No. 189)
One atom of each set of equivalent atoms:
Li  0.0000  0.7029  0.0000 x3
Zn  0.3333  0.6667  0.0000 x2
Ag  0.0000  0.0000  0.5000 x1
Au  0.0000  0.3829  0.5000 x3

Computed properties:
**Formation energy**: -368 meV/atom
**E**: -24.28 eV per cell
**Volume**: 15.76 A^3/atom

***

[6]
LiZn2Ag2Au | PBE | optimized geometry

Unit cell a=3.826 b=8.753 c=5.784 alpha=90.00 beta=90.00 gamma=90.00
Space group Pmc2_1 (No. 26)
One atom of each set of equivalent atoms:
Li  0.000  0.159  0.000 x2
Zn  0.000  0.162  0.509 x2
Zn  0.500  0.332  0.250 x2
Ag  0.000  0.494  0.503 x2
Ag  0.500  0.320  0.763 x2
Au  0.500  0.017  0.253 x2

Computed properties:
**Formation energy**: -206 meV/atom
**E**: -29.35 eV per cell
**Volume**: 16.14 A^3/atom